1.
Computed, not measured: a relaxed structure of MgHgP2 at the PBE level of DFT.

## Properties
Energy above the lowest structure with this stoichiometry ... 0.209 eV per atom
Energy of formation ... 0.151 eV/atom
E ... -3.028 eV/atom

Geometry as POSCAR:
```
MgHgP2
1.0
5.652 0.000 0.000
0.000 7.286 0.000
-1.643 0.000 3.794
Mg Hg P
2 2 4
Cartesian
0.000 0.000 0.000 Mg
2.826 3.643 0.000 Mg
0.000 3.643 0.000 Hg
2.826 0.000 0.000 Hg
0.592 1.822 1.897 P
0.592 5.465 1.897 P
3.418 1.822 1.897 P
3.418 5.465 1.897 P
```

***

2.
Computed, not measured: a relaxed structure of MgHgP2 at the PBE level of DFT.

## Properties
Energy above the lowest structure with this stoichiometry ... 0.327 eV per atom
Energy of formation ... 0.269 eV/atom
E ... -2.910 eV/atom

Geometry as POSCAR:
```
MgHgP2
1.0
4.318 0.000 0.000
0.000 3.757 0.000
-1.436 0.000 4.685
Mg Hg P
1 1 2
Cartesian
0.000 0.000 0.000 Mg
2.159 1.879 0.000 Hg
-0.718 1.879 2.343 P
1.441 0.000 2.343 P
```

***

3.
Computed, not measured: a relaxed structure of MgHgP2 at the PBE level of DFT.

## Properties
Energy above the lowest structure with this stoichiometry ... 0.175 eV per atom
Energy of formation ... 0.118 eV/atom
E ... -3.061 eV/atom

Geometry as POSCAR:
```
MgHgP2
1.0
3.719 0.000 0.000
0.000 3.902 0.000
0.000 0.000 5.437
Mg Hg P
1 1 2
Cartesian
0.000 0.000 0.000 Mg
1.859 1.951 2.718 Hg
0.000 0.000 2.718 P
1.859 1.951 0.000 P
```

***

4.
Computed, not measured: a relaxed structure of MgHgP2 at the PBE level of DFT.

## Properties
Energy above the lowest structure with this stoichiometry ... 0.061 eV per atom
Energy of formation ... 0.004 eV/atom
E ... -3.175 eV/atom

Geometry as POSCAR:
```
MgHgP2
1.0
4.856 0.000 0.000
0.000 4.797 0.000
0.000 0.000 7.265
Mg Hg P
2 2 4
Cartesian
0.000 0.000 0.000 Mg
0.000 2.399 3.632 Mg
2.428 0.000 4.694 Hg
2.428 2.399 1.062 Hg
0.000 0.000 2.602 P
0.000 2.399 6.235 P
2.428 0.000 1.871 P
2.428 2.399 5.503 P
```

***

5.
Computed, not measured: a relaxed structure of MgHgP2 at the PBE level of DFT.

## Properties
Energy above the lowest structure with this stoichiometry ... 0.350 eV per atom
Energy of formation ... 0.292 eV/atom
E ... -2.887 eV/atom

Geometry as POSCAR:
```
MgHgP2
1.0
3.015 0.000 0.000
-1.508 2.611 0.000
0.000 0.000 29.899
Mg Hg P
3 3 6
Cartesian
0.000 0.000 0.000 Mg
0.000 1.741 19.932 Mg
1.508 0.870 9.966 Mg
0.000 0.000 14.949 Hg
0.000 1.741 4.983 Hg
1.508 0.870 24.915 Hg
0.000 0.000 7.949 P
0.000 0.000 21.950 P
0.000 1.741 11.983 P
0.000 1.741 27.881 P
1.508 0.870 2.017 P
1.508 0.870 17.915 P
```

***

6.
Computed, not measured: a relaxed structure of MgHgP at the PBE level of DFT.

## Properties
Energy above the lowest structure with this stoichiometry ... 0.143 eV per atom
Energy of formation ... 0.062 eV/atom
E ... -2.373 eV/atom

Geometry as POSCAR:
```
MgHgP
1.0
4.589 0.000 0.000
0.000 4.616 0.000
0.000 0.000 11.662
Mg Hg P
4 4 4
Cartesian
0.000 0.000 0.000 Mg
0.000 2.308 5.831 Mg
2.295 0.000 5.831 Mg
2.295 2.308 0.000 Mg
0.000 0.000 3.580 Hg
0.000 2.308 9.411 Hg
2.295 0.000 9.411 Hg
2.295 2.308 3.580 Hg
0.000 0.000 7.203 P
0.000 2.308 1.372 P
2.295 0.000 1.372 P
2.295 2.308 7.203 P
```

***

The evaluated magnetic moment for the records listed, in turn: 0.000, 0.000, 0.000, 0.000, 0.000, 0.000 μB/atom.